18
Lattice="6.3485 0.0000 0.0000 0.0000 7.9014 0.0000 -1.6200 0.0000 9.1400" Properties=species:S:1:pos:R:3 comment="PBE LiTbAg3S4, relaxed" polymorph_energy_ev_per_atom=0.000 m_tot_mub_per_fu=0.59 pbc="T T T"
Ag 1.1276 5.9261 1.6671
Ag 0.7921 4.4737 4.3023
Ag 0.7921 7.3785 4.3023
Ag 3.9364 0.5230 4.8377
Ag 3.9364 3.4277 4.8377
Ag 3.6009 1.9754 7.4729
Li 1.1316 1.9754 1.9714
Li 3.5969 5.9261 7.1685
S 5.4909 5.9261 0.3856
S 2.5101 0.0262 2.5318
S 2.5101 3.9245 2.5318
S -0.5045 1.9754 4.0326
S 5.2330 5.9261 5.1074
S 2.2184 3.9769 6.6082
S 2.2184 7.8752 6.6082
S -0.7625 1.9754 8.7543
Tb 4.1810 5.9261 2.6079
Tb 0.5474 1.9754 6.5321